VASP calculation (PBEsol) on a relaxed structure of Rb2SeO4.

a b c (Å): 7.9650 6.1540 10.7679
angles (deg): 90.00 90.00 90.00
Last column: nearest neighbours and their distance in Å.
Space group Pnma (No. 62)
Unique sites:
Rb: 0.0042 0.2500 0.2042 (multiplicity 4)  7 O 2.84-3.01
Rb: 0.1693 0.7500 0.4163 (multiplicity 4)  5 O 2.78-3.10
Se: 0.2271 0.7500 0.0805 (multiplicity 4)  4 O 1.66-1.67
O: 0.0185 0.7500 0.0752 (multiplicity 4)  1 Se 1.66
O: 0.1910 0.2500 0.4374 (multiplicity 4)  1 Se 1.67
O: 0.2057 0.0285 0.6548 (multiplicity 8)  1 Se 1.67

Computed properties:
Formation energy (no corrections): -1410 meV/atom
E: -36.8 eV per formula unit
DOS at the Fermi energy: 0.00 states/eV/f.u.

VASP calculation (PBEsol) on a relaxed structure of RbVSeO5.

a b c (Å): 7.7495 7.5589 9.3314
angles (deg): 90.00 95.10 90.00
Last column: nearest neighbours and their distance in Å.
Space group P2_1 (No. 4)
Unique sites:
Rb: 0.0828 0.0000 0.1420 (multiplicity 2)  8 O 2.88-3.17
Rb: 0.3952 0.7739 0.5946 (multiplicity 2)  6 O 2.87-3.02
V: 0.0668 0.4579 0.2591 (multiplicity 2)  2 O 1.62-1.66
V: 0.4267 0.3357 0.7591 (multiplicity 2)  2 O 1.63-1.67
Se: 0.1177 0.2558 0.5436 (multiplicity 2)  3 O 1.72-1.75
Se: 0.3758 0.5365 0.0707 (multiplicity 2)  3 O 1.72-1.74
O: 0.0156 0.6989 0.3257 (multiplicity 2)  1 Se 1.72
O: 0.0300 0.8863 0.5602 (multiplicity 2)  1 Se 1.74
O: 0.0756 0.8622 0.8536 (multiplicity 2)  1 V 1.62
O: 0.1791 0.6078 0.1237 (multiplicity 2)  1 Se 1.73
O: 0.2293 0.4274 0.6365 (multiplicity 2)  1 Se 1.75, 1 V 1.95
O: 0.2373 0.3259 0.2907 (multiplicity 2)  1 V 1.66
O: 0.3115 0.4967 0.8929 (multiplicity 2)  1 Se 1.72
O: 0.4101 0.1381 0.6799 (multiplicity 2)  1 V 1.67
O: 0.4143 0.9413 0.3053 (multiplicity 2)  1 V 1.63
O: 0.4765 0.7410 0.0564 (multiplicity 2)  1 Se 1.74

Computed properties:
Formation energy (no corrections): -1757 meV/atom
E: -54.8 eV per formula unit
DOS at the Fermi energy: 0.00 states/eV/f.u.

VASP calculation (PBEsol) on a relaxed structure of RbV3Se2O12.

a b c (Å): 7.0667 7.0667 11.5177
angles (deg): 90.00 90.00 120.00
Last column: nearest neighbours and their distance in Å.
Space group P6_3 (No. 173)
Unique sites:
Rb: 0.3333 0.6667 0.0000 (multiplicity 2)  6 O 2.98-3.24
V: 0.1245 0.7913 0.3344 (multiplicity 6)  2 O 1.66-1.67
Se: 0.0000 0.0000 0.1116 (multiplicity 2)  3 O 1.73
Se: 0.3333 0.6667 0.5608 (multiplicity 2)  3 O 1.72
O: 0.0825 0.5409 0.3105 (multiplicity 6)  1 V 1.66
O: 0.1203 0.2551 0.1771 (multiplicity 6)  1 Se 1.73, 1 V 1.91
O: 0.1244 0.2504 0.8654 (multiplicity 6)  1 V 1.67
O: 0.1969 0.4116 0.4975 (multiplicity 6)  1 Se 1.72

Computed properties:
Formation energy (no corrections): -1812 meV/atom
E: -133.2 eV per formula unit
DOS at the Fermi energy: 0.00 states/eV/f.u.

VASP calculation (PBEsol) on a relaxed structure of RbYSe2O6.

a b c (Å): 13.5392 5.7792 8.8998
angles (deg): 90.00 90.00 90.00
Last column: nearest neighbours and their distance in Å.
Space group Pnma (No. 62)
Unique sites:
Rb: 0.1244 0.2500 0.0052 (multiplicity 4)  8 O 2.91-3.10
Y: 0.1007 0.7500 0.6906 (multiplicity 4)  6 O 2.22-2.26
Se: 0.0651 0.7500 0.2906 (multiplicity 4)  3 O 1.70-1.72
Se: 0.2005 0.2500 0.4833 (multiplicity 4)  3 O 1.71-1.73
O: 0.0025 0.5194 0.2138 (multiplicity 8)  1 Se 1.72
O: 0.0229 0.7500 0.4708 (multiplicity 4)  1 Se 1.70
O: 0.1806 0.7500 0.9132 (multiplicity 4)  1 Se 1.73
O: 0.2060 0.0188 0.6037 (multiplicity 8)  1 Se 1.71

Computed properties:
Formation energy (no corrections): -1810 meV/atom
E: -65.1 eV per formula unit
DOS at the Fermi energy: 0.00 states/eV/f.u.

VASP calculation (PBEsol) on a relaxed structure of Rb2Si2O5.

a b c (Å): 10.3265 8.3727 14.6908
angles (deg): 90.00 90.43 90.00
Last column: nearest neighbours and their distance in Å.
Space group C2/c (No. 15)
Unique sites:
Rb: 0.0786 0.1271 0.1004 (multiplicity 8)  3 O 2.72-2.94
Rb: 0.1684 0.3943 0.5836 (multiplicity 8)  4 O 2.71-2.99
Si: 0.1205 0.1849 0.8162 (multiplicity 8)  4 O 1.58-1.65
Si: 0.1315 0.4240 0.3050 (multiplicity 8)  4 O 1.58-1.65
O: 0.0000 0.1236 0.7500 (multiplicity 4)  2 Si 1.65
O: 0.0000 0.3635 0.2500 (multiplicity 4)  2 Si 1.65
O: 0.1086 0.1193 0.9167 (multiplicity 8)  1 Si 1.58
O: 0.1261 0.3801 0.8072 (multiplicity 8)  2 Si 1.64
O: 0.1454 0.3433 0.4019 (multiplicity 8)  1 Si 1.58
O: 0.2475 0.3816 0.2329 (multiplicity 8)  2 Si 1.64

Computed properties:
Formation energy (no corrections): -2522 meV/atom
E: -62.5 eV per formula unit
DOS at the Fermi energy: 0.00 states/eV/f.u.

VASP calculation (PBEsol) on a relaxed structure of Rb4SiO4.

a b c (Å): 10.8381 6.6113 10.6381
angles (deg): 90.00 112.53 90.00
Last column: nearest neighbours and their distance in Å.
Space group P2_1/c (No. 14)
Unique sites:
Rb: 0.0706 0.0851 0.2077 (multiplicity 4)  4 O 2.73-3.05
Rb: 0.1523 0.6196 0.0761 (multiplicity 4)  4 O 2.73-2.82
Rb: 0.3751 0.6719 0.8934 (multiplicity 4)  4 O 2.68-2.84
Rb: 0.4154 0.1765 0.7863 (multiplicity 4)  5 O 2.79-2.97
Si: 0.2394 0.1241 0.9868 (multiplicity 4)  4 O 1.66-1.67
O: 0.0956 0.2243 0.9773 (multiplicity 4)  1 Si 1.66
O: 0.2119 0.5072 0.3450 (multiplicity 4)  1 Si 1.66
O: 0.3060 0.5236 0.6242 (multiplicity 4)  1 Si 1.67
O: 0.3452 0.1856 0.4995 (multiplicity 4)  1 Si 1.67

Computed properties:
Formation energy (no corrections): -1984 meV/atom
E: -48.7 eV per formula unit
DOS at the Fermi energy: 0.00 states/eV/f.u.

VASP calculation (PBEsol) on a relaxed structure of Rb6Si2O7.

a b c (Å): 6.7147 9.1677 11.2686
angles (deg): 90.00 125.32 90.00
Last column: nearest neighbours and their distance in Å.
Space group P2_1/c (No. 14)
Unique sites:
Rb: 0.0236 0.1476 0.4100 (multiplicity 4)  5 O 2.85-3.06
Rb: 0.2071 0.5267 0.4550 (multiplicity 4)  5 O 2.77-3.01
Rb: 0.3926 0.2208 0.2763 (multiplicity 4)  6 O 2.84-2.98
Si: 0.3310 0.6329 0.8764 (multiplicity 4)  4 O 1.64-1.70
O: 0.0850 0.6569 0.8730 (multiplicity 4)  1 Si 1.65
O: 0.2665 0.5793 0.7189 (multiplicity 4)  1 Si 1.64
O: 0.4954 0.2208 0.0652 (multiplicity 4)  1 Si 1.64
O: 0.5000 0.0000 0.5000 (multiplicity 2)  2 Si 1.70

Computed properties:
Formation energy (no corrections): -2145 meV/atom
E: -86.6 eV per formula unit
DOS at the Fermi energy: 0.00 states/eV/f.u.

VASP calculation (PBEsol) on a relaxed structure of Rb4SiO4.

a b c (Å): 6.7116 6.8624 9.2082
angles (deg): 82.23 73.69 61.10
Last column: nearest neighbours and their distance in Å.
Space group P-1 (No. 2)
Unique sites:
Rb: 0.0131 0.2256 0.0511 (multiplicity 2)  4 O 2.70-2.85
Rb: 0.1510 0.2806 0.6353 (multiplicity 2)  5 O 2.73-2.96
Rb: 0.2424 0.7773 0.5483 (multiplicity 2)  4 O 2.69-2.82
Rb: 0.4305 0.7271 0.1354 (multiplicity 2)  5 O 2.71-2.96
Si: 0.3656 0.2677 0.2496 (multiplicity 2)  4 O 1.67
O: 0.2250 0.4350 0.1225 (multiplicity 2)  1 Si 1.67
O: 0.2350 0.1135 0.3335 (multiplicity 2)  1 Si 1.67
O: 0.3442 0.4351 0.3751 (multiplicity 2)  1 Si 1.67
O: 0.3526 0.8954 0.8325 (multiplicity 2)  1 Si 1.67

Computed properties:
Formation energy (no corrections): -1984 meV/atom
E: -48.7 eV per formula unit
DOS at the Fermi energy: 0.00 states/eV/f.u.

VASP calculation (PBEsol) on a relaxed structure of Rb2SrSiO.

a b c (Å): 5.9396 5.9396 4.0616
angles (deg): 90.00 90.00 90.00
Last column: nearest neighbours and their distance in Å.
Space group P4/mmm (No. 123)
Unique sites:
Rb: 0.0000 0.5000 0.0000 (multiplicity 2)  2 O 2.97
Sr: 0.0000 0.0000 0.5000 (multiplicity 1)  8 Rb 3.60
Si: 0.5000 0.5000 0.5000 (multiplicity 1)  2 O 2.03
O: 0.5000 0.5000 0.0000 (multiplicity 1)  2 Si 2.03

Computed properties:
Formation energy (no corrections): -107 meV/atom
E: -15.4 eV per formula unit
DOS at the Fermi energy: 5.05 states/eV/f.u.

VASP calculation (PBEsol) on a relaxed structure of Rb2TiSi3O9.

a b c (Å): 6.8949 6.8949 10.0229
angles (deg): 90.00 90.00 120.00
Last column: nearest neighbours and their distance in Å.
Space group P6_3/m (No. 176)
Unique sites:
Rb: 0.3333 0.6667 0.0573 (multiplicity 4)  9 O 2.91-3.16
Ti: 0.0000 0.0000 0.0000 (multiplicity 2)  6 O 1.95
Si: 0.1349 0.7576 0.7500 (multiplicity 6)  4 O 1.61-1.67
O: 0.0305 0.7854 0.6124 (multiplicity 12)  1 Si 1.61
O: 0.0825 0.4935 0.7500 (multiplicity 6)  2 Si 1.66-1.67

Computed properties:
Formation energy (no corrections): -2748 meV/atom
E: -116.1 eV per formula unit
DOS at the Fermi energy: 0.00 states/eV/f.u.

VASP calculation (PBEsol) on a relaxed structure of Rb2TiSi6O15.

a b c (Å): 12.7677 7.3713 15.2166
angles (deg): 90.00 105.06 90.00
Last column: nearest neighbours and their distance in Å.
Space group Cc (No. 9)
Unique sites:
Rb: 0.0000 0.1211 0.0000 (multiplicity 4)  7 O 2.94-3.26
Rb: 0.0169 0.3677 0.3348 (multiplicity 4)  6 O 2.94-3.19
Ti: 0.2852 0.2612 0.9279 (multiplicity 4)  6 O 1.92-1.98
Si: 0.0591 0.1828 0.7682 (multiplicity 4)  4 O 1.60-1.65
Si: 0.2239 0.4351 0.5639 (multiplicity 4)  4 O 1.60-1.65
Si: 0.2358 0.0729 0.2780 (multiplicity 4)  4 O 1.60-1.66
Si: 0.2868 0.0294 0.5899 (multiplicity 4)  4 O 1.60-1.66
Si: 0.3258 0.4451 0.2691 (multiplicity 4)  4 O 1.60-1.65
Si: 0.4972 0.0995 0.0781 (multiplicity 4)  4 O 1.60-1.65
O: 0.0454 0.3030 0.6765 (multiplicity 4)  2 Si 1.62-1.63
O: 0.0982 0.4947 0.0513 (multiplicity 4)  2 Si 1.64-1.65
O: 0.1049 0.0202 0.2514 (multiplicity 4)  2 Si 1.65-1.66
O: 0.1375 0.2822 0.8543 (multiplicity 4)  1 Si 1.60
O: 0.2164 0.2130 0.5574 (multiplicity 4)  2 Si 1.63-1.64
O: 0.2360 0.2957 0.2836 (multiplicity 4)  2 Si 1.64-1.65
O: 0.2365 0.1361 0.0240 (multiplicity 4)  1 Si 1.60
O: 0.2731 0.4906 0.9844 (multiplicity 4)  1 Si 1.60
O: 0.2881 0.0114 0.1956 (multiplicity 4)  2 Si 1.63
O: 0.2985 0.4908 0.6637 (multiplicity 4)  2 Si 1.62
O: 0.3005 0.0251 0.8702 (multiplicity 4)  1 Si 1.60
O: 0.3406 0.3863 0.8372 (multiplicity 4)  1 Si 1.60
O: 0.4154 0.0659 0.5919 (multiplicity 4)  2 Si 1.65-1.66
O: 0.4384 0.2373 0.9993 (multiplicity 4)  1 Si 1.60
O: 0.4419 0.3361 0.2911 (multiplicity 4)  2 Si 1.63-1.64

Computed properties:
Formation energy (no corrections): -2776 meV/atom
E: -190.2 eV per formula unit
DOS at the Fermi energy: 0.00 states/eV/f.u.